Record 1
A plane-wave DFT calculation with PBE was carried out for crystalline Ni3Sn12Au5 at its relaxed geometry.

a = 13.798 Å, b = 13.798 Å, c = 13.798 Å
α = 109.47°, β = 109.47°, γ = 109.47°
Atoms (fractional coordinates):
Ni  0.125  0.250  0.375
Ni  0.125  0.375  0.750
Ni  0.250  0.375  0.125
Ni  0.250  0.875  0.625
Ni  0.375  0.125  0.250
Ni  0.375  0.750  0.125
Ni  0.625  0.250  0.875
Ni  0.625  0.875  0.750
Ni  0.750  0.125  0.375
Ni  0.750  0.625  0.875
Ni  0.875  0.625  0.250
Ni  0.875  0.750  0.625
Sn  0.062  0.629  0.392
Sn  0.062  0.933  0.670
Sn  0.067  0.237  0.129
Sn  0.067  0.330  0.938
Sn  0.108  0.737  0.670
Sn  0.108  0.871  0.438
Sn  0.129  0.067  0.237
Sn  0.129  0.562  0.892
Sn  0.170  0.237  0.608
Sn  0.170  0.433  0.562
Sn  0.237  0.129  0.067
Sn  0.237  0.608  0.170
Sn  0.263  0.330  0.892
Sn  0.263  0.433  0.371
Sn  0.330  0.892  0.263
Sn  0.330  0.938  0.067
Sn  0.371  0.263  0.433
Sn  0.371  0.608  0.938
Sn  0.392  0.062  0.629
Sn  0.392  0.830  0.763
Sn  0.433  0.371  0.263
Sn  0.433  0.562  0.170
Sn  0.438  0.108  0.871
Sn  0.438  0.830  0.567
Sn  0.562  0.170  0.433
Sn  0.562  0.892  0.129
Sn  0.567  0.438  0.830
Sn  0.567  0.629  0.737
Sn  0.608  0.170  0.237
Sn  0.608  0.938  0.371
Sn  0.629  0.392  0.062
Sn  0.629  0.737  0.567
Sn  0.670  0.062  0.933
Sn  0.670  0.108  0.737
Sn  0.737  0.567  0.629
Sn  0.737  0.670  0.108
Sn  0.763  0.392  0.830
Sn  0.763  0.871  0.933
Sn  0.830  0.567  0.438
Sn  0.830  0.763  0.392
Sn  0.871  0.438  0.108
Sn  0.871  0.933  0.763
Sn  0.892  0.129  0.562
Sn  0.892  0.263  0.330
Sn  0.933  0.670  0.062
Sn  0.933  0.763  0.871
Sn  0.938  0.067  0.330
Sn  0.938  0.371  0.608
Au  0.000  0.000  0.000
Au  0.000  0.000  0.500
Au  0.000  0.500  0.000
Au  0.000  0.500  0.500
Au  0.125  0.750  0.875
Au  0.125  0.875  0.250
Au  0.250  0.125  0.875
Au  0.250  0.625  0.375
Au  0.375  0.250  0.625
Au  0.375  0.625  0.750
Au  0.500  0.000  0.000
Au  0.500  0.000  0.500
Au  0.500  0.500  0.000
Au  0.500  0.500  0.500
Au  0.625  0.375  0.250
Au  0.625  0.750  0.375
Au  0.750  0.375  0.625
Au  0.750  0.875  0.125
Au  0.875  0.125  0.750
Au  0.875  0.250  0.125

Output
ρ, g/cm3: 8.49
Electronic total energy, eV per atom: -4.1037
Size of the total moment, μB/atom: 0.0000



Record 2
A plane-wave DFT calculation with PBE was carried out for crystalline Ni2SnAu at its relaxed geometry.

a = 3.776 Å, b = 4.943 Å, c = 7.403 Å
α = 91.35°, β = 104.65°, γ = 112.43°
Atoms (fractional coordinates):
Ni  0.000  0.000  0.000
Ni  0.105  0.837  0.369
Ni  0.472  0.464  0.475
Ni  0.831  0.054  0.607
Sn  0.568  0.305  0.830
Sn  0.738  0.199  0.272
Au  0.205  0.697  0.713
Au  0.358  0.601  0.110

Output
ρ, g/cm3: 11.75
Electronic total energy, eV per atom: -4.7322
Size of the total moment, μB/atom: 0.0000



Record 3
A plane-wave DFT calculation with PBE was carried out for crystalline Ni2SnAu at its relaxed geometry.

a = 4.144 Å, b = 4.144 Å, c = 3.489 Å
α = 90.00°, β = 90.00°, γ = 90.00°
Atoms (fractional coordinates):
Ni  0.000  0.500  0.000
Ni  0.500  0.000  0.000
Sn  0.000  0.000  0.500
Au  0.500  0.500  0.500

Output
ρ, g/cm3: 12.00
Electronic total energy, eV per atom: -4.7991
Size of the total moment, μB/atom: 0.0000



Record 4
A plane-wave DFT calculation with PBE was carried out for crystalline NiSn3Au at its relaxed geometry.

a = 7.741 Å, b = 6.529 Å, c = 9.801 Å
α = 90.00°, β = 119.70°, γ = 90.00°
Atoms (fractional coordinates):
Ni  0.019  0.175  0.074
Ni  0.019  0.325  0.574
Ni  0.981  0.675  0.426
Ni  0.981  0.825  0.926
Sn  0.080  0.667  0.734
Sn  0.080  0.833  0.234
Sn  0.250  0.001  0.598
Sn  0.250  0.499  0.098
Sn  0.342  0.013  0.062
Sn  0.342  0.487  0.562
Sn  0.658  0.513  0.438
Sn  0.658  0.987  0.938
Sn  0.750  0.501  0.902
Sn  0.750  0.999  0.402
Sn  0.920  0.167  0.766
Sn  0.920  0.333  0.266
Au  0.379  0.164  0.369
Au  0.379  0.336  0.869
Au  0.621  0.664  0.131
Au  0.621  0.836  0.631

Output
ρ, g/cm3: 9.44
Polymorph energy (0 for the lowest one), meV per atom: 0.0
Size of the total moment, μB/atom: 0.0000



Record 5
A plane-wave DFT calculation with PBE was carried out for crystalline NiSnAu2 at its relaxed geometry.

a = 10.457 Å, b = 10.457 Å, c = 10.457 Å
α = 16.27°, β = 16.27°, γ = 16.27°
Atoms (fractional coordinates):
Ni  0.000  0.000  0.000
Sn  0.500  0.500  0.500
Au  0.082  0.082  0.082
Au  0.918  0.918  0.918

Output
ρ, g/cm3: 12.13
Electronic total energy, eV per atom: -3.6487
Size of the total moment, μB/atom: 0.1883



Record 6
A plane-wave DFT calculation with PBE was carried out for crystalline Ni2SnAu at its relaxed geometry.

a = 3.225 Å, b = 3.225 Å, c = 5.803 Å
α = 90.00°, β = 90.00°, γ = 90.00°
Atoms (fractional coordinates):
Ni  0.000  0.000  0.237
Ni  0.000  0.000  0.763
Sn  0.500  0.500  0.000
Au  0.500  0.500  0.500

Output
ρ, g/cm3: 11.91
Electronic total energy, eV per atom: -4.7589
Size of the total moment, μB/atom: 0.0000



Record 7
A plane-wave DFT calculation with PBE was carried out for crystalline NiSnAu3 at its relaxed geometry.

a = 4.812 Å, b = 4.812 Å, c = 4.812 Å
α = 90.00°, β = 90.00°, γ = 90.00°
Atoms (fractional coordinates):
Ni  0.000  0.000  0.000
Sn  0.500  0.500  0.500
Au  0.000  0.000  0.500
Au  0.000  0.500  0.000
Au  0.500  0.000  0.000

Output
ρ, g/cm3: 11.45
Polymorph energy (0 for the lowest one), meV per atom: 0.0
Size of the total moment, μB/atom: 0.0000



Record 8
A plane-wave DFT calculation with PBE was carried out for crystalline Ni2Sn2Au at its relaxed geometry.

a = 6.088 Å, b = 6.088 Å, c = 6.088 Å
α = 139.40°, β = 139.40°, γ = 58.76°
Atoms (fractional coordinates):
Ni  0.109  0.109  0.000
Ni  0.891  0.891  0.000
Sn  0.250  0.750  0.500
Sn  0.750  0.250  0.500
Au  0.500  0.500  0.000

Output
ρ, g/cm3: 9.68
Polymorph energy (0 for the lowest one), meV per atom: 344.3
Size of the total moment, μB/atom: 0.0000



Q: The lowest ρ belongs to which entry?
A: Ni3Sn12Au5



Copy entry 8 word for word.
A plane-wave DFT calculation with PBE was carried out for crystalline Ni2Sn2Au at its relaxed geometry.

a = 6.088 Å, b = 6.088 Å, c = 6.088 Å
α = 139.40°, β = 139.40°, γ = 58.76°
Atoms (fractional coordinates):
Ni  0.109  0.109  0.000
Ni  0.891  0.891  0.000
Sn  0.250  0.750  0.500
Sn  0.750  0.250  0.500
Au  0.500  0.500  0.000

Output
ρ, g/cm3: 9.68
Polymorph energy (0 for the lowest one), meV per atom: 344.3
Size of the total moment, μB/atom: 0.0000